## YIrS2N (GGA-PBE)

Data for YIrS2N after structural relaxation.

Cell: 4.9078 4.9078 3.7045 Å, 90.00 90.00 90.00°
Space group P4/mmm (No. 123)
One atom of each set of equivalent atoms:
Y: 0.0000 0.0000 0.0000 x1
Ir: 0.5000 0.5000 0.5000 x1
S: 0.0000 0.5000 0.5000 x2
N: 0.5000 0.5000 0.0000 x1

Results
The calculation puts the uncorrected formation energy at -0.50 eV per atom. For the energy above the most stable polymorph in this dataset, the calculation gives 0 meV per atom.


## Bi4S4O (GGA-PBE)

Data for Bi4S4O after structural relaxation.

Cell: 8.8361 8.8361 5.7306 Å, 90.00 90.00 90.00°
Space group P4_2/n (No. 86, origin choice 2)
One atom of each set of equivalent atoms:
Bi: 0.0010 0.2522 0.0922 x8
S: 0.0459 0.7475 0.4388 x8
O: 0.2500 0.2500 0.2500 x2

Results
The calculation puts the uncorrected formation energy at -0.33 eV per atom.


## Sr2YCl (GGA-PBE)

Data for Sr2YCl after structural relaxation.

Cell: 3.9209 6.5862 6.5903 Å, 90.00 90.15 90.00°
Space group Pm (No. 6)
One atom of each set of equivalent atoms:
Sr: 0.0000 0.0000 0.0000 x1
Sr: 0.0064 0.5000 0.6197 x1
Y: 0.5025 0.0000 0.5115 x1
Cl: 0.5044 0.5000 0.2944 x1

Results
The calculation puts the uncorrected formation energy at -0.42 eV per atom. For the energy above the most stable polymorph in this dataset, the calculation gives 324 meV per atom.


## Na4TaSe5 (GGA-PBE)

Data for Na4TaSe5 after structural relaxation.

Cell: 9.2202 9.2202 6.1846 Å, 90.00 90.00 90.00°
Space group I4 (No. 79)
One atom of each set of equivalent atoms:
Na: 0.0886 0.6988 0.0000 x8
Ta: 0.0000 0.0000 0.5926 x2
Se: 0.0000 0.0000 0.9820 x2
Se: 0.0817 0.7445 0.4941 x8

Results
The calculation puts the uncorrected formation energy at -0.89 eV per atom.


## HoEr3Th2Bi6 (GGA-PBE)

Data for HoEr3Th2Bi6 after structural relaxation.

Cell: 19.6020 4.5106 8.9913 Å, 90.00 103.12 90.00°
Space group C2/m (No. 12)
One atom of each set of equivalent atoms:
Ho: 0.0000 0.0000 0.0000 x2
Er: 0.0000 0.0000 0.5000 x2
Er: 0.1676 0.5000 0.8340 x4
Th: 0.1649 0.5000 0.3309 x4
Bi: 0.0035 0.5000 0.7511 x4
Bi: 0.1645 0.0000 0.5897 x4
Bi: 0.1663 0.0000 0.0746 x4

Results
For the formation energy, the calculation gives -0.7326 eV/atom.


## DyEr2Bi (GGA-PBE)

Data for DyEr2Bi after structural relaxation.

Cell: 3.6309 3.6309 32.0683 Å, 90.00 90.00 120.00°
Space group R3m (No. 160, hexagonal axes)
One atom of each set of equivalent atoms:
Dy: 0.0000 0.0000 0.0000 x3
Er: 0.0000 0.0000 0.5805 x3
Er: 0.0000 0.0000 0.7535 x3
Bi: 0.0000 0.0000 0.1668 x3

Results
For the energy above the most stable polymorph in this dataset, the calculation gives 186 meV per atom. For the formation energy, the calculation gives -0.1841 eV/atom.


## Ca2ErPuTe4 (GGA-PBE)

Data for Ca2ErPuTe4 after structural relaxation.

Cell: 7.6704 4.4204 7.7537 Å, 90.00 109.19 90.00°
Space group P2/m (No. 10)
One atom of each set of equivalent atoms:
Ca: 0.0000 0.0000 0.0000 x1
Ca: 0.5000 0.5000 0.0000 x1
Er: 0.0000 0.5000 0.5000 x1
Pu: 0.5000 0.0000 0.5000 x1
Te: 0.2423 0.0000 0.7442 x2
Te: 0.2457 0.5000 0.2527 x2

Results
The calculation puts the uncorrected formation energy at -1.38 eV per atom.


## Nd3Al7Ga4 (GGA-PBE)

Data for Nd3Al7Ga4 after structural relaxation.

Cell: 16.3263 4.2771 10.0379 Å, 90.00 126.77 90.00°
Space group C2/m (No. 12)
One atom of each set of equivalent atoms:
Nd: 0.0000 0.0000 0.0000 x2
Nd: 0.1808 0.5000 0.6842 x4
Al: 0.0000 0.0000 0.5000 x2
Al: 0.0066 0.5000 0.2876 x4
Al: 0.1496 0.0000 0.4196 x4
Al: 0.1697 0.5000 0.0271 x4
Ga: 0.1301 0.0000 0.8527 x4
Ga: 0.1641 0.5000 0.2805 x4

Results
For the formation energy, the calculation gives -0.4432 eV/atom.